! Ta2VGe | the Alexandria database | PBE-GGA | optimized geometry; values from VASP
! DOS at the Fermi energy = 7.78 states/eV/cell
! crystal system = tetragonal
! ΔH_f (0 K) = 51.4 kJ/mol of atoms
&SYSTEM
  ibrav = 0, nat = 8, ntyp = 3
/
ATOMIC_SPECIES
Ta 180.95 Ta.upf
V 50.94 V.upf
Ge 72.64 Ge.upf
CELL_PARAMETERS angstrom
7.161 0.000 0.000
0.000 7.161 0.000
3.581 3.581 2.742
ATOMIC_POSITIONS crystal
Ta 0.628 0.125 0.250
Ta 0.122 0.625 0.250
Ta 0.875 0.878 0.750
Ta 0.375 0.372 0.750
V 0.500 0.500 0.000
V 0.250 0.750 0.500
Ge 0.000 0.000 0.000
Ge 0.750 0.250 0.500